Entry 1:
# DySb2Se4 (PBE, optimized geometry)
data_DySb2Se4
_cell_length_a 6.982
_cell_length_b 6.982
_cell_length_c 13.475
_cell_angle_alpha 90.00
_cell_angle_beta 90.00
_cell_angle_gamma 144.26
_space_group_name_H-M_alt 'P 1'
_space_group_IT_number 1
_space_group_name_Hall 'P 1'
loop_
_atom_site_label
_atom_site_type_symbol
_atom_site_fract_x
_atom_site_fract_y
_atom_site_fract_z
Dy1 Dy 0.123 0.877 0.750
Dy2 Dy 0.877 0.123 0.250
Sb1 Sb 0.375 0.625 0.561
Sb2 Sb 0.375 0.625 0.939
Sb3 Sb 0.625 0.375 0.061
Sb4 Sb 0.625 0.375 0.439
Se1 Se 0.000 0.000 0.000
Se2 Se 0.000 0.000 0.500
Se3 Se 0.277 0.723 0.123
Se4 Se 0.277 0.723 0.377
Se5 Se 0.480 0.520 0.750
Se6 Se 0.520 0.480 0.250
Se7 Se 0.723 0.277 0.623
Se8 Se 0.723 0.277 0.877
# magnetic moment: 0.0000 μB per atom
# formation energy (no corrections): -4.66 eV per formula unit

=====

Entry 2:
# Dy2SbSe4 (PBE, optimized geometry)
data_Dy2SbSe4
_cell_length_a 8.135
_cell_length_b 8.135
_cell_length_c 7.211
_cell_angle_alpha 113.75
_cell_angle_beta 113.75
_cell_angle_gamma 28.64
_space_group_name_H-M_alt 'P 1'
_space_group_IT_number 1
_space_group_name_Hall 'P 1'
loop_
_atom_site_label
_atom_site_type_symbol
_atom_site_fract_x
_atom_site_fract_y
_atom_site_fract_z
Dy1 Dy 0.238 0.238 0.246
Dy2 Dy 0.762 0.762 0.754
Sb1 Sb 0.500 0.500 0.500
Se1 Se 0.142 0.142 0.810
Se2 Se 0.369 0.369 0.675
Se3 Se 0.631 0.631 0.325
Se4 Se 0.858 0.858 0.190
# magnetic moment: 0.0000 μB per atom
# formation energy (no corrections): -8.77 eV per formula unit

=====

Entry 3:
# Dy6SbSe4 (PBE, optimized geometry)
data_Dy6SbSe4
_cell_length_a 6.933
_cell_length_b 6.933
_cell_length_c 20.806
_cell_angle_alpha 90.00
_cell_angle_beta 90.00
_cell_angle_gamma 145.88
_space_group_name_H-M_alt 'P 1'
_space_group_IT_number 1
_space_group_name_Hall 'P 1'
loop_
_atom_site_label
_atom_site_type_symbol
_atom_site_fract_x
_atom_site_fract_y
_atom_site_fract_z
Dy1 Dy 0.000 0.000 0.000
Dy2 Dy 0.000 0.000 0.500
Dy3 Dy 0.153 0.847 0.750
Dy4 Dy 0.270 0.730 0.097
Dy5 Dy 0.270 0.730 0.403
Dy6 Dy 0.446 0.554 0.664
Dy7 Dy 0.446 0.554 0.836
Dy8 Dy 0.554 0.446 0.164
Dy9 Dy 0.554 0.446 0.336
Dy10 Dy 0.730 0.270 0.597
Dy11 Dy 0.730 0.270 0.903
Dy12 Dy 0.847 0.153 0.250
Sb1 Sb 0.175 0.825 0.250
Sb2 Sb 0.825 0.175 0.750
Se1 Se 0.084 0.916 0.624
Se2 Se 0.084 0.916 0.876
Se3 Se 0.357 0.643 0.536
Se4 Se 0.357 0.643 0.964
Se5 Se 0.643 0.357 0.036
Se6 Se 0.643 0.357 0.464
Se7 Se 0.916 0.084 0.124
Se8 Se 0.916 0.084 0.376
# magnetic moment: 0.0000 μB per atom
# formation energy (no corrections): -16.31 eV per formula unit

=====

Entry 4:
# Dy3SbSe (PBE, optimized geometry)
data_Dy3SbSe
_cell_length_a 8.508
_cell_length_b 4.128
_cell_length_c 15.347
_cell_angle_alpha 90.00
_cell_angle_beta 90.00
_cell_angle_gamma 90.00
_space_group_name_H-M_alt 'P 1'
_space_group_IT_number 1
_space_group_name_Hall 'P 1'
loop_
_atom_site_label
_atom_site_type_symbol
_atom_site_fract_x
_atom_site_fract_y
_atom_site_fract_z
Dy1 Dy 0.021 0.250 0.111
Dy2 Dy 0.156 0.250 0.541
Dy3 Dy 0.178 0.750 0.282
Dy4 Dy 0.322 0.250 0.782
Dy5 Dy 0.344 0.750 0.041
Dy6 Dy 0.479 0.750 0.611
Dy7 Dy 0.521 0.250 0.389
Dy8 Dy 0.656 0.250 0.959
Dy9 Dy 0.678 0.750 0.218
Dy10 Dy 0.822 0.250 0.718
Dy11 Dy 0.844 0.750 0.459
Dy12 Dy 0.979 0.750 0.889
Sb1 Sb 0.100 0.750 0.692
Sb2 Sb 0.400 0.250 0.192
Sb3 Sb 0.600 0.750 0.808
Sb4 Sb 0.900 0.250 0.308
Se1 Se 0.185 0.250 0.949
Se2 Se 0.315 0.750 0.449
Se3 Se 0.685 0.250 0.551
Se4 Se 0.815 0.750 0.051
# magnetic moment: 0.0000 μB per atom
# formation energy (no corrections): -5.76 eV per formula unit
# distance to the lowest polymorph of the same formula: 0.0000 eV per atom

=====

Entry 5:
# Dy5Sb4Se (PBE, optimized geometry)
data_Dy5Sb4Se
_cell_length_a 7.496
_cell_length_b 7.496
_cell_length_c 7.496
_cell_angle_alpha 99.64
_cell_angle_beta 99.64
_cell_angle_gamma 131.69
_space_group_name_H-M_alt 'P 1'
_space_group_IT_number 1
_space_group_name_Hall 'P 1'
loop_
_atom_site_label
_atom_site_type_symbol
_atom_site_fract_x
_atom_site_fract_y
_atom_site_fract_z
Dy1 Dy 0.000 0.000 0.000
Dy2 Dy 0.206 0.400 0.606
Dy3 Dy 0.400 0.794 0.194
Dy4 Dy 0.600 0.206 0.806
Dy5 Dy 0.794 0.600 0.394
Sb1 Sb 0.097 0.700 0.797
Sb2 Sb 0.300 0.097 0.398
Sb3 Sb 0.700 0.903 0.602
Sb4 Sb 0.903 0.300 0.203
Se1 Se 0.500 0.500 0.000
# magnetic moment: 0.0000 μB per atom
# formation energy (no corrections): -12.72 eV per formula unit

=====

Entry 6:
# Dy6Sb5Se (PBE, optimized geometry)
data_Dy6Sb5Se
_cell_length_a 7.512
_cell_length_b 7.512
_cell_length_c 7.515
_cell_angle_alpha 99.61
_cell_angle_beta 99.61
_cell_angle_gamma 119.94
_space_group_name_H-M_alt 'P 1'
_space_group_IT_number 1
_space_group_name_Hall 'P 1'
loop_
_atom_site_label
_atom_site_type_symbol
_atom_site_fract_x
_atom_site_fract_y
_atom_site_fract_z
Dy1 Dy 0.082 0.410 0.746
Dy2 Dy 0.245 0.245 0.250
Dy3 Dy 0.410 0.082 0.746
Dy4 Dy 0.590 0.918 0.254
Dy5 Dy 0.755 0.755 0.750
Dy6 Dy 0.918 0.590 0.254
Sb1 Sb 0.169 0.831 0.000
Sb2 Sb 0.334 0.666 0.500
Sb3 Sb 0.500 0.500 0.000
Sb4 Sb 0.666 0.334 0.500
Sb5 Sb 0.831 0.169 0.000
Se1 Se 0.000 0.000 0.500
# magnetic moment: 0.0000 μB per atom
# formation energy (no corrections): -15.01 eV per formula unit

=====

Entry 7:
# Dy7SbSe5 (PBE, optimized geometry)
data_Dy7SbSe5
_cell_length_a 6.979
_cell_length_b 6.979
_cell_length_c 24.245
_cell_angle_alpha 90.05
_cell_angle_beta 90.05
_cell_angle_gamma 33.88
_space_group_name_H-M_alt 'P 1'
_space_group_IT_number 1
_space_group_name_Hall 'P 1'
loop_
_atom_site_label
_atom_site_type_symbol
_atom_site_fract_x
_atom_site_fract_y
_atom_site_fract_z
Dy1 Dy 0.019 0.019 0.250
Dy2 Dy 0.139 0.139 0.537
Dy3 Dy 0.139 0.139 0.963
Dy4 Dy 0.313 0.313 0.178
Dy5 Dy 0.313 0.313 0.322
Dy6 Dy 0.405 0.405 0.618
Dy7 Dy 0.405 0.405 0.882
Dy8 Dy 0.595 0.595 0.118
Dy9 Dy 0.595 0.595 0.382
Dy10 Dy 0.687 0.687 0.678
Dy11 Dy 0.687 0.687 0.822
Dy12 Dy 0.861 0.861 0.037
Dy13 Dy 0.861 0.861 0.463
Dy14 Dy 0.981 0.981 0.750
Sb1 Sb 0.310 0.310 0.750
Sb2 Sb 0.690 0.690 0.250
Se1 Se 0.049 0.049 0.859
Se2 Se 0.050 0.050 0.641
Se3 Se 0.223 0.223 0.071
Se4 Se 0.223 0.223 0.428
Se5 Se 0.500 0.500 0.000
Se6 Se 0.500 0.500 0.500
Se7 Se 0.777 0.777 0.572
Se8 Se 0.777 0.777 0.929
Se9 Se 0.950 0.950 0.359
Se10 Se 0.951 0.951 0.141
# magnetic moment: 0.0000 μB per atom
# formation energy (no corrections): -19.85 eV per formula unit

=====

Entry 8:
# Dy3SbSe3 (PBE, optimized geometry)
data_Dy3SbSe3
_cell_length_a 8.512
_cell_length_b 8.512
_cell_length_c 8.512
_cell_angle_alpha 57.97
_cell_angle_beta 57.97
_cell_angle_gamma 57.97
_space_group_name_H-M_alt 'P 1'
_space_group_IT_number 1
_space_group_name_Hall 'P 1'
loop_
_atom_site_label
_atom_site_type_symbol
_atom_site_fract_x
_atom_site_fract_y
_atom_site_fract_z
Dy1 Dy 0.017 0.790 0.424
Dy2 Dy 0.210 0.576 0.983
Dy3 Dy 0.424 0.017 0.790
Dy4 Dy 0.576 0.983 0.210
Dy5 Dy 0.790 0.424 0.017
Dy6 Dy 0.983 0.210 0.576
Sb1 Sb 0.166 0.166 0.166
Sb2 Sb 0.834 0.834 0.834
Se1 Se 0.130 0.373 0.668
Se2 Se 0.332 0.870 0.627
Se3 Se 0.373 0.668 0.130
Se4 Se 0.627 0.332 0.870
Se5 Se 0.668 0.130 0.373
Se6 Se 0.870 0.627 0.332
# magnetic moment: 0.0000 μB per atom
# formation energy (no corrections): -10.72 eV per formula unit

=====

Copy entry 8 word for word.
# Dy3SbSe3 (PBE, optimized geometry)
data_Dy3SbSe3
_cell_length_a 8.512
_cell_length_b 8.512
_cell_length_c 8.512
_cell_angle_alpha 57.97
_cell_angle_beta 57.97
_cell_angle_gamma 57.97
_space_group_name_H-M_alt 'P 1'
_space_group_IT_number 1
_space_group_name_Hall 'P 1'
loop_
_atom_site_label
_atom_site_type_symbol
_atom_site_fract_x
_atom_site_fract_y
_atom_site_fract_z
Dy1 Dy 0.017 0.790 0.424
Dy2 Dy 0.210 0.576 0.983
Dy3 Dy 0.424 0.017 0.790
Dy4 Dy 0.576 0.983 0.210
Dy5 Dy 0.790 0.424 0.017
Dy6 Dy 0.983 0.210 0.576
Sb1 Sb 0.166 0.166 0.166
Sb2 Sb 0.834 0.834 0.834
Se1 Se 0.130 0.373 0.668
Se2 Se 0.332 0.870 0.627
Se3 Se 0.373 0.668 0.130
Se4 Se 0.627 0.332 0.870
Se5 Se 0.668 0.130 0.373
Se6 Se 0.870 0.627 0.332
# magnetic moment: 0.0000 μB per atom
# formation energy (no corrections): -10.72 eV per formula unit